First-principles (GGA-PBE) data for ThAlNi after structural relaxation, as listed in the Alexandria database.

Lattice parameters (Å, degrees): 3.9842 3.9842 7.2643 90.00 90.00 90.00
With the nearest neighbours (Å) after each atom.
Fractional positions:
Al: 0.5000 0.5000 0.5000  4 Ni 2.50
Th: 0.5000 0.0000 0.1464  5 Ni 3.01-3.18, 4 Al 3.25
Ni: 0.5000 0.0000 0.7090  4 Al 2.50
Ni: 0.0000 0.5000 0.2910  4 Al 2.50
Al: 0.0000 0.0000 0.5000  4 Ni 2.50
Th: 0.0000 0.5000 0.8536  5 Ni 3.01-3.18, 4 Al 3.25

Formation energy ... -50.7 kJ/mol of atoms